1 | Density functional theory data (PBE) for TmCdNO after structural relaxation.

The value obtained for the volume is 16.31 Å³/atom. For the theoretical density, the calculation gives 7.925 g/cm³. As for the crystal system: orthorhombic. Its space-group type is Pmc2_1, No. 26. Its total magnetization is 0.00 μB/f.u.

Cell and atoms, written as extended XYZ:
```
8
Lattice="-0.905 1.568 -3.372 -4.157 2.734 2.387 3.791 4.733 1.183" Properties=species:S:1:pos:R:3 pbc="T T T"
O -1.479 2.706 -0.517
O -1.075 7.172 1.451
N -2.385 4.046 2.521
N 0.885 4.167 1.700
Cd 0.623 5.903 0.405
Cd -3.778 4.370 0.874
Tm -1.507 5.936 3.164
Tm -0.826 2.824 1.535
```

---

2 | Density functional theory data (PBE) for TmCdNO after structural relaxation.

The value obtained for the volume is 17.40 Å³/atom. For the theoretical density, the calculation gives 7.428 g/cm³. As for the crystal system: orthorhombic. Its space-group type is Pca2_1, No. 29. Its total magnetization is 0.00 μB/f.u.

Cell and atoms, written as extended XYZ:
```
16
Lattice="6.252 0.000 0.000 0.000 7.434 0.000 0.000 0.000 5.991" Properties=species:S:1:pos:R:3 pbc="T T T"
N 2.779 1.049 0.711
N 3.473 6.384 3.706
N 0.347 1.049 3.706
N 5.905 6.384 0.711
Tm 3.651 2.794 5.903
Tm 0.525 4.640 5.903
Tm 5.727 2.794 2.908
Tm 2.601 4.640 2.908
O 0.651 4.379 3.754
O 3.777 3.055 3.754
O 5.601 3.055 0.759
O 2.475 4.379 0.759
Cd 0.783 0.665 5.821
Cd 3.909 6.768 5.821
Cd 2.343 0.665 2.826
Cd 5.468 6.768 2.826
```

---

Short version: 1, 2, most stable first.